{"formula": "Cs2SrPF6", "functional": "PBE-GGA", "state": "optimized geometry", "lattice_angstrom": [[6.181, 0.000, 0.000], [0.000, 6.181, 0.000], [3.090, 3.090, 5.923]], "species": ["Cs", "Cs", "Sr", "F", "F", "F", "F", "F", "F", "P"], "frac_coords": [[0.750, 0.250, 0.500], [0.250, 0.750, 0.500], [0.000, 0.000, 0.000], [0.200, 0.200, 0.601], [0.800, 0.800, 0.399], [0.278, 0.278, 0.000], [0.722, 0.722, 0.000], [0.722, 0.278, 0.000], [0.278, 0.722, 0.000], [0.500, 0.500, 0.000]], "m_tot_mub_per_cell": 1.00, "energy_ev_per_atom": -4.662, "crystal_system": "tetragonal", "e_form_raw_ev_per_atom": -2.659}